A relaxed Cs3KRb4F8 crystal. Source: Alexandria via LeMat-Bulk, functional PBE.

a = 8.264 Å, b = 8.258 Å, c = 8.263 Å
α = 119.99°, β = 120.00°, γ = 90.00°
Sites, in units of the cell vectors:
1 Cs 0.000 0.500 0.500
2 Cs 0.500 0.500 0.500
3 Cs 0.500 0.500 0.000
4 F 0.245 0.755 0.010
5 F 0.248 0.757 0.495
6 F 0.755 0.245 0.990
7 F 0.755 0.766 0.510
8 F 0.764 0.755 0.010
9 F 0.236 0.245 0.990
10 F 0.752 0.243 0.505
11 F 0.245 0.234 0.490
12 Rb 0.000 0.000 0.500
13 Rb 0.500 0.000 0.000
14 Rb 0.000 0.000 0.000
15 Rb 0.500 0.000 0.500
16 K 0.000 0.500 0.000

E_form (uncorrected) = -2.65 eV/atom
E_tot = -64.97 eV/cell